Run A
DFT (GGA-PBE) results for a geometry-optimized Mn2AgBr structure.

```
Mn2AgBr
1.0
-1.946 -0.204 4.633
-4.235 -0.826 2.584
0.464 -5.075 1.021
Br Ag Mn
1 1 2
Direct
0.729 0.729 0.817
0.515 0.515 0.446
0.990 0.990 0.989
0.267 0.267 0.248
```

Summary:
As for the spin magnetization: 8.20 μB/cell. For the density, the calculation gives 6.47 g cm⁻³.

=====

Run B
DFT (GGA-PBE) results for a geometry-optimized Mn2AgBr structure.

```
Mn2AgBr
1.0
-2.546 -1.665 -1.245
0.017 -2.161 2.856
-4.448 4.323 3.313
Mn Br Ag
2 1 1
Direct
0.000 0.749 0.448
0.000 0.751 0.052
0.500 0.750 0.750
0.500 0.250 0.250
```

Summary:
As for the spin magnetization: 8.44 μB/cell. For the density, the calculation gives 5.97 g cm⁻³.

=====

Least stable structure: run A

=====

Run A
DFT (GGA-PBE) results for a geometry-optimized Mn2AgBr structure.

```
Mn2AgBr
1.0
3.267 0.012 0.000
-0.011 3.267 0.000
0.000 0.000 7.458
Mn Ag Br
2 1 1
Direct
0.500 0.500 0.226
0.000 0.000 0.019
0.000 0.000 0.433
0.500 0.500 0.822
```

Summary:
As for the spin magnetization: 7.93 μB/cell. For the density, the calculation gives 6.21 g cm⁻³.

=====

Run B
DFT (GGA-PBE) results for a geometry-optimized Mn2AgBr structure.

```
Mn2AgBr
1.0
4.758 0.000 0.000
2.379 4.121 0.000
2.379 1.374 3.885
Mn Br Ag
2 1 1
Direct
0.250 0.250 0.250
0.000 0.000 0.000
0.750 0.750 0.750
0.500 0.500 0.500
```

Summary:
As for the spin magnetization: 8.01 μB/cell. For the density, the calculation gives 6.49 g cm⁻³.

=====

Run C
DFT (GGA-PBE) results for a geometry-optimized Mn2AgBr structure.

```
Mn2AgBr
1.0
-2.469 -1.425 1.590
1.513 0.535 2.829
-1.288 7.273 4.517
Ag Br Mn
1 1 2
Direct
0.000 0.434 0.438
0.500 0.814 0.815
0.000 0.023 0.019
0.500 0.229 0.228
```

Summary:
As for the spin magnetization: 7.96 μB/cell. For the density, the calculation gives 6.31 g cm⁻³.

=====

Least stable structure: run B

=====

Run A
DFT (GGA-PBE) results for a geometry-optimized Mn2AgBr structure.

```
Mn2AgBr
1.0
5.378 -0.022 0.003
1.639 5.122 -0.003
-2.691 -3.674 2.859
Br Mn Ag
1 2 1
Direct
0.250 0.750 0.500
0.008 0.008 0.000
0.492 0.492 0.000
0.750 0.250 0.500
```

Summary:
As for the spin magnetization: 8.65 μB/cell. For the density, the calculation gives 6.27 g cm⁻³.

=====

Run B
DFT (GGA-PBE) results for a geometry-optimized Mn2AgBr structure.

```
Mn2AgBr
1.0
8.156 -0.286 -0.169
7.564 3.063 -0.169
7.564 1.336 2.762
Ag Mn Br
1 2 1
Direct
0.250 0.250 0.250
0.997 0.997 0.997
0.503 0.503 0.503
0.750 0.750 0.750
```

Summary:
As for the spin magnetization: 8.73 μB/cell. For the density, the calculation gives 6.23 g cm⁻³.

=====

Run C
DFT (GGA-PBE) results for a geometry-optimized Mn2AgBr structure.

```
Mn2AgBr
1.0
-4.488 0.134 1.475
-2.482 0.047 4.021
-3.563 6.611 3.031
Mn Br Ag
2 1 1
Direct
0.060 0.060 0.081
0.440 0.440 0.419
0.750 0.750 0.750
0.250 0.250 0.250
```

Summary:
As for the spin magnetization: 8.42 μB/cell. For the density, the calculation gives 5.27 g cm⁻³.

=====

Run D
DFT (GGA-PBE) results for a geometry-optimized Mn2AgBr structure.

```
Mn2AgBr
1.0
9.061 0.233 0.138
8.444 3.295 0.138
8.444 1.702 2.825
Ag Mn Br
1 2 1
Direct
0.511 0.511 0.511
0.999 0.999 0.999
0.257 0.257 0.257
0.733 0.733 0.733
```

Summary:
As for the spin magnetization: 7.00 μB/cell. For the density, the calculation gives 6.59 g cm⁻³.

=====

Least stable structure: run A

=====

Run A
DFT (GGA-PBE) results for a geometry-optimized Mn2AgBr structure.

```
Mn2AgBr
1.0
6.710 0.435 -0.099
4.289 5.178 0.099
-5.103 -3.583 2.517
Mn Ag Br
2 1 1
Direct
0.828 0.328 0.500
0.015 0.015 0.000
0.461 0.461 0.000
0.196 0.696 0.500
```

Summary:
As for the spin magnetization: 8.23 μB/cell. For the density, the calculation gives 5.90 g cm⁻³.

=====

Run B
DFT (GGA-PBE) results for a geometry-optimized Mn2AgBr structure.

```
Mn2AgBr
1.0
3.248 0.004 0.000
-0.008 3.248 0.000
0.000 0.000 7.282
Br Ag Mn
1 1 2
Direct
0.500 0.500 0.750
0.500 0.500 0.250
0.000 0.000 0.472
0.000 0.000 0.028
```

Summary:
As for the spin magnetization: 8.47 μB/cell. For the density, the calculation gives 6.44 g cm⁻³.

=====

Least stable structure: run B

=====

Run A
DFT (GGA-PBE) results for a geometry-optimized MnAg3Br structure.

```
MnAg3Br
1.0
-0.039 1.949 4.692
-4.400 -2.360 0.943
2.541 -4.056 1.706
Ag Br Mn
3 1 1
Direct
0.000 0.500 0.000
0.500 0.000 0.000
0.000 0.000 0.500
0.500 0.500 0.500
0.000 0.000 0.000
```

Summary:
As for the spin magnetization: 4.46 μB/cell. For the density, the calculation gives 5.80 g cm⁻³.

=====

Run B
DFT (GGA-PBE) results for a geometry-optimized MnAg3Br structure.

```
MnAg3Br
1.0
5.205 0.000 0.000
0.000 5.205 0.000
0.000 0.000 5.205
Ag Br Mn
3 1 1
Direct
0.000 0.500 0.000
0.500 0.000 0.000
0.000 0.000 0.500
0.000 0.000 0.000
0.500 0.500 0.500
```

Summary:
As for the spin magnetization: 4.83 μB/cell. For the density, the calculation gives 5.40 g cm⁻³.

=====

Least stable structure: run B

=====

Run A
DFT (GGA-PBE) results for a geometry-optimized Mn2AgBr6 structure.

```
Mn2AgBr6
1.0
4.343 0.000 0.000
-2.172 6.708 0.402
0.000 -1.711 9.672
Br Mn Ag
6 2 1
Direct
0.373 0.746 0.389
0.840 0.680 0.080
0.101 0.202 0.265
0.160 0.320 0.920
0.627 0.254 0.611
0.899 0.798 0.735
0.741 0.481 0.825
0.259 0.519 0.175
0.000 0.000 0.500
```

Summary:
As for the spin magnetization: 9.00 μB/cell. For the density, the calculation gives 4.06 g cm⁻³.

=====

Run B
DFT (GGA-PBE) results for a geometry-optimized Mn2AgBr6 structure.

```
Mn2AgBr6
1.0
-3.060 -5.073 2.202
1.852 -3.461 -5.399
3.871 0.026 5.438
Br Ag Mn
6 1 2
Direct
0.265 0.354 0.354
0.735 0.646 0.646
0.735 0.000 0.354
0.265 0.000 0.646
0.735 0.354 0.000
0.265 0.646 0.000
0.000 0.000 0.000
0.500 0.333 0.667
0.500 0.667 0.333
```

Summary:
As for the spin magnetization: 9.00 μB/cell. For the density, the calculation gives 4.75 g cm⁻³.

=====

Least stable structure: run A

=====

Run A
DFT (GGA-PBE) results for a geometry-optimized MnAgBr4 structure.

```
MnAgBr4
1.0
3.527 2.879 4.470
-2.217 5.205 2.951
-1.746 -0.308 6.130
Br Ag Mn
4 1 1
Direct
0.876 0.375 0.375
0.375 0.375 0.375
0.375 0.375 0.876
0.375 0.876 0.375
0.000 0.000 0.000
0.750 0.750 0.750
```

Summary:
As for the spin magnetization: 7.58 μB/cell. For the density, the calculation gives 4.36 g cm⁻³.

=====

Run B
DFT (GGA-PBE) results for a geometry-optimized MnAgBr4 structure.

```
MnAgBr4
1.0
6.961 -0.597 0.000
-1.845 6.789 0.000
-2.558 -3.096 8.374
Ag Br Mn
2 8 2
Direct
0.658 0.408 0.817
0.342 0.592 0.183
0.515 0.266 0.092
0.102 0.389 0.328
0.274 0.061 0.672
0.485 0.734 0.908
0.898 0.611 0.672
0.077 0.826 0.092
0.923 0.174 0.908
0.726 0.939 0.328
0.809 0.059 0.119
0.191 0.941 0.881
```

Summary:
As for the spin magnetization: 7.95 μB/cell. For the density, the calculation gives 4.15 g cm⁻³.

=====

Run C
DFT (GGA-PBE) results for a geometry-optimized MnAgBr4 structure.

```
MnAgBr4
1.0
0.855 -5.427 -4.328
6.688 -0.524 1.978
-4.964 0.166 4.462
Br Ag Mn
4 1 1
Direct
0.387 0.835 0.192
0.165 0.194 0.808
0.643 0.613 0.808
0.806 0.357 0.192
0.750 0.250 0.500
0.500 0.500 0.000
```

Summary:
As for the spin magnetization: 3.98 μB/cell. For the density, the calculation gives 3.65 g cm⁻³.

=====

Least stable structure: run A

=====

Run A
DFT (GGA-PBE) results for a geometry-optimized Mn3AgBr structure.

```
Mn3AgBr
1.0
-2.047 2.460 -3.926
-4.084 -2.985 0.259
-2.188 3.270 3.190
Mn Br Ag
3 1 1
Direct
0.500 0.000 0.000
0.000 0.500 0.000
0.000 0.000 0.500
0.500 0.500 0.500
0.000 0.000 0.000
```

Summary:
As for the spin magnetization: 13.67 μB/cell. For the density, the calculation gives 4.50 g cm⁻³.

=====

Run B
DFT (GGA-PBE) results for a geometry-optimized Mn3AgBr structure.

```
Mn3AgBr
1.0
4.537 0.000 0.000
0.000 4.537 0.000
0.000 0.000 4.537
Br Ag Mn
1 1 3
Direct
0.000 0.000 0.000
0.500 0.500 0.500
0.000 0.000 0.500
0.000 0.500 0.000
0.500 0.000 0.000
```

Summary:
As for the spin magnetization: 9.36 μB/cell. For the density, the calculation gives 6.27 g cm⁻³.

=====

Least stable structure: run B

=====

Run A
DFT (GGA-PBE) results for a geometry-optimized MnAgBr structure.

```
MnAgBr
1.0
3.524 0.000 0.000
-1.762 3.052 0.000
0.000 0.000 6.341
Ag Mn Br
1 1 1
Direct
0.000 0.000 0.949
0.333 0.667 0.661
0.667 0.333 0.390
```

Summary:
As for the spin magnetization: 4.59 μB/cell. For the density, the calculation gives 5.91 g cm⁻³.

=====

Run B
DFT (GGA-PBE) results for a geometry-optimized MnAgBr structure.

```
MnAgBr
1.0
4.594 0.000 0.000
-2.297 3.979 0.000
0.000 0.000 3.412
Mn Br Ag
1 1 1
Direct
0.333 0.667 0.501
0.667 0.333 0.499
0.000 0.000 0.000
```

Summary:
As for the spin magnetization: 4.03 μB/cell. For the density, the calculation gives 6.46 g cm⁻³.

=====

Least stable structure: run B

=====

Run A
DFT (GGA-PBE) results for a geometry-optimized MnAgBr structure.

```
MnAgBr
1.0
6.797 0.033 0.000
5.206 4.371 0.000
-6.002 -2.202 2.310
Mn Ag Br
1 1 1
Direct
0.669 0.669 0.000
0.037 0.037 0.000
0.294 0.294 0.000
```

Summary:
As for the spin magnetization: 4.59 μB/cell. For the density, the calculation gives 5.91 g cm⁻³.

=====

Run B
DFT (GGA-PBE) results for a geometry-optimized MnAgBr structure.

```
MnAgBr
1.0
-3.675 0.062 -2.813
-3.939 -2.058 1.292
-3.701 2.559 1.083
Br Ag Mn
1 1 1
Direct
0.500 0.500 0.500
0.000 0.000 0.000
0.750 0.750 0.750
```

Summary:
As for the spin magnetization: 4.49 μB/cell. For the density, the calculation gives 5.75 g cm⁻³.

=====

Least stable structure: run B

=====

Run A
DFT (GGA-PBE) results for a geometry-optimized MnAgSe2Br structure.

```
MnAgSe2Br
1.0
-1.497 4.260 0.589
0.324 -0.510 4.513
5.222 1.859 -0.165
Mn Ag Br Se
1 1 1 2
Direct
0.000 0.000 0.000
0.500 0.500 0.500
0.000 0.000 0.500
0.500 0.000 0.000
0.000 0.500 0.000
```

Summary:
As for the spin magnetization: 0.00 μB/cell. For the density, the calculation gives 5.79 g cm⁻³.

=====

Run B
DFT (GGA-PBE) results for a geometry-optimized MnAgSe2Br structure.

```
MnAgSe2Br
1.0
5.107 0.000 0.000
0.000 5.107 0.000
0.000 0.000 5.153
Br Se Mn Ag
1 2 1 1
Direct
0.000 0.000 0.500
0.500 0.000 0.000
0.000 0.500 0.000
0.500 0.500 0.500
0.000 0.000 0.000
```

Summary:
As for the spin magnetization: 4.92 μB/cell. For the density, the calculation gives 4.95 g cm⁻³.

=====

Least stable structure: run B

=====

Run A
DFT (GGA-PBE) results for a geometry-optimized AgMo3Br structure.

```
AgMo3Br
1.0
4.608 0.000 0.000
0.000 4.608 0.000
0.000 0.000 4.608
Mo Br Ag
3 1 1
Direct
0.000 0.000 0.500
0.500 0.000 0.000
0.000 0.500 0.000
0.000 0.000 0.000
0.500 0.500 0.500
```

Summary:
As for the spin magnetization: 0.00 μB/cell. For the density, the calculation gives 8.07 g cm⁻³.

=====

Run B
DFT (GGA-PBE) results for a geometry-optimized AgMo3Br structure.

```
AgMo3Br
1.0
5.156 0.000 0.000
0.000 5.156 0.000
0.000 0.000 5.156
Mo Ag Br
3 1 1
Direct
0.000 0.000 0.500
0.000 0.500 0.000
0.500 0.000 0.000
0.000 0.000 0.000
0.500 0.500 0.500
```

Summary:
As for the spin magnetization: 10.65 μB/cell. For the density, the calculation gives 5.76 g cm⁻³.

=====

Least stable structure: run B